Entry 1:
First-principles (SCAN) data for a crystal of LaAgPb3 relaxed with PBEsol, as listed in Alexandria via LeMat-Bulk.

Calculated values
* DFT formation energy: 0.79 eV per atom

Structure (POSCAR):
```
LaAgPb3
1.0
5.980 0.000 0.000
0.000 5.980 0.000
0.000 0.000 5.980
La Pb Ag
1 3 1
direct
0.000 0.000 0.000 La
0.000 0.000 0.500 Pb
0.500 0.000 0.000 Pb
0.000 0.500 0.000 Pb
0.500 0.500 0.500 Ag
```

Entry 2:
First-principles (SCAN) data for a crystal of ReOsSe relaxed with PBEsol, as listed in Alexandria via LeMat-Bulk.

Calculated values
* energy relative to the elements, uncorrected: 741 meV/atom

Structure (POSCAR):
```
ReOsSe
1.0
-0.280 -2.354 1.713
3.395 -1.686 -1.762
0.386 2.419 3.387
Os Re Se
1 1 1
direct
0.045 0.000 0.000 Os
0.564 0.333 0.667 Re
0.391 0.667 0.333 Se
```

Entry 3:
First-principles (SCAN) data for a crystal of Nd2Ge5Ir3 relaxed with PBEsol, as listed in Alexandria via LeMat-Bulk.

Calculated values
* DFT formation energy: -0.92 eV per atom

Structure (POSCAR):
```
Nd2Ge5Ir3
1.0
-4.637 -3.609 -1.360
0.057 -2.058 -8.109
2.377 -8.019 -0.201
Ge Ir Nd
10 6 4
direct
0.100 0.060 0.740 Ge
0.475 0.775 0.775 Ge
0.025 0.225 0.225 Ge
0.525 0.225 0.225 Ge
0.900 0.940 0.260 Ge
0.750 0.500 0.500 Ge
0.250 0.500 0.500 Ge
0.975 0.775 0.775 Ge
0.600 0.740 0.060 Ge
0.400 0.260 0.940 Ge
0.859 0.751 0.531 Ir
0.141 0.249 0.469 Ir
0.641 0.469 0.249 Ir
0.359 0.531 0.751 Ir
0.750 0.000 0.000 Ir
0.250 0.000 0.000 Ir
0.132 0.596 0.139 Nd
0.868 0.404 0.861 Nd
0.632 0.139 0.596 Nd
0.368 0.861 0.404 Nd
```

Entry 4:
First-principles (SCAN) data for a crystal of SrH4Cl2O2 relaxed with PBEsol, as listed in Alexandria via LeMat-Bulk.

Structure (POSCAR):
```
SrH4Cl2O2
1.0
-2.153 -5.412 -2.522
6.775 0.922 0.224
-1.879 -2.013 5.922
Cl H Sr O
4 8 2 4
direct
0.769 0.717 0.824 Cl
0.231 0.283 0.176 Cl
0.052 0.283 0.676 Cl
0.948 0.717 0.324 Cl
0.751 0.385 0.087 H
0.582 0.761 0.609 H
0.418 0.239 0.391 H
0.179 0.761 0.109 H
0.366 0.615 0.413 H
0.249 0.615 0.913 H
0.634 0.385 0.587 H
0.821 0.239 0.891 H
0.732 0.000 0.250 Sr
0.268 0.000 0.750 Sr
0.695 0.221 0.987 O
0.305 0.779 0.013 O
0.527 0.221 0.487 O
0.473 0.779 0.513 O
```

Entry 5:
First-principles (SCAN) data for a crystal of Bi13O20 relaxed with PBEsol, as listed in Alexandria via LeMat-Bulk.

Calculated values
* energy relative to the elements, uncorrected: -1093 meV/atom

Structure (POSCAR):
```
Bi13O20
1.0
-7.998 3.793 0.237
2.885 -1.324 8.266
5.654 5.298 -4.287
O Bi
20 13
direct
0.361 0.246 0.621 O
0.741 0.379 0.625 O
0.370 0.370 0.370 O
0.246 0.621 0.361 O
0.375 0.754 0.116 O
0.259 0.884 0.639 O
0.621 0.361 0.246 O
0.630 0.000 0.000 O
0.758 0.758 0.758 O
0.242 0.000 0.000 O
0.000 0.242 0.000 O
0.000 0.000 0.630 O
0.884 0.639 0.259 O
0.625 0.741 0.379 O
0.000 0.000 0.242 O
0.754 0.116 0.375 O
0.116 0.375 0.754 O
0.379 0.625 0.741 O
0.000 0.630 0.000 O
0.639 0.259 0.884 O
0.838 0.691 0.503 Bi
0.188 0.336 0.497 Bi
0.691 0.503 0.838 Bi
0.148 0.812 0.309 Bi
0.309 0.148 0.812 Bi
0.497 0.188 0.336 Bi
0.852 0.162 0.664 Bi
0.162 0.664 0.852 Bi
0.000 0.000 0.000 Bi
0.812 0.309 0.148 Bi
0.336 0.497 0.188 Bi
0.664 0.852 0.162 Bi
0.503 0.838 0.691 Bi
```

Entry 6:
First-principles (SCAN) data for a crystal of KLi2Be relaxed with PBEsol, as listed in Alexandria via LeMat-Bulk.

Calculated values
* DFT formation energy: 0.43 eV per atom

Structure (POSCAR):
```
KLi2Be
1.0
3.349 0.000 0.000
0.000 3.349 0.000
0.000 0.000 8.215
Be K Li
1 1 2
direct
0.500 0.500 0.000 Be
0.500 0.500 0.500 K
0.000 0.000 0.849 Li
0.000 0.000 0.151 Li
```

Entry 7:
First-principles (SCAN) data for a crystal of MnIrBr2 relaxed with PBEsol, as listed in Alexandria via LeMat-Bulk.

Calculated values
* energy relative to the elements, uncorrected: -52 meV/atom
* polymorph energy (0 for the lowest one): 0.000 eV/atom

Structure (POSCAR):
```
MnIrBr2
1.0
-0.455 2.298 -2.904
-0.387 -3.684 -0.457
-7.045 0.596 1.577
Br Ir Mn
2 1 1
direct
0.044 0.089 0.907 Br
0.372 0.745 0.336 Br
0.376 0.751 0.710 Ir
0.708 0.415 0.548 Mn
```

Entry 8:
First-principles (SCAN) data for a crystal of LaHgPt2 relaxed with PBEsol, as listed in Alexandria via LeMat-Bulk.

Calculated values
* DFT formation energy: 0.05 eV per atom

Structure (POSCAR):
```
LaHgPt2
1.0
3.023 0.000 0.000
1.511 2.618 0.000
1.511 0.873 9.784
La Pt Hg
1 2 1
direct
0.255 0.255 0.235 La
0.748 0.748 0.757 Pt
0.006 0.006 0.982 Pt
0.491 0.491 0.526 Hg
```

Entry 9:
First-principles (SCAN) data for a crystal of AlSi2Te relaxed with PBEsol, as listed in Alexandria via LeMat-Bulk.

Calculated values
* energy relative to the elements, uncorrected: 400 meV/atom
* polymorph energy (0 for the lowest one): 0.058 eV/atom

Structure (POSCAR):
```
AlSi2Te
1.0
5.853 0.000 0.000
0.000 5.853 0.000
-2.927 -2.927 6.021
Al Si Te
2 4 2
direct
0.500 0.500 0.000 Al
0.750 0.250 0.500 Al
0.125 0.164 0.750 Si
0.625 0.586 0.750 Si
0.414 0.875 0.250 Si
0.836 0.375 0.250 Si
0.000 0.000 0.000 Te
0.250 0.750 0.500 Te
```

Entry 10:
First-principles (SCAN) data for a crystal of NaAlCl2 relaxed with PBEsol, as listed in Alexandria via LeMat-Bulk.

Calculated values
* energy relative to the elements, uncorrected: -1119 meV/atom
* polymorph energy (0 for the lowest one): 0.000 eV/atom

Structure (POSCAR):
```
NaAlCl2
1.0
3.465 0.000 0.000
1.732 3.001 0.000
1.732 1.000 8.213
Al Cl Na
1 2 1
direct
0.000 0.000 0.000 Al
0.095 0.095 0.714 Cl
0.905 0.905 0.286 Cl
0.500 0.500 0.500 Na
```

Entry 11:
First-principles (SCAN) data for a crystal of LiLa3As relaxed with PBEsol, as listed in Alexandria via LeMat-Bulk.

Calculated values
* DFT formation energy: -0.01 eV per atom

Structure (POSCAR):
```
LiLa3As
1.0
5.104 0.000 0.000
0.000 5.104 0.000
0.000 0.000 5.104
La Li As
3 1 1
direct
0.500 0.000 0.000 La
0.000 0.000 0.500 La
0.000 0.500 0.000 La
0.000 0.000 0.000 Li
0.500 0.500 0.500 As
```

Entry 12:
First-principles (SCAN) data for a crystal of Li3FeO4 relaxed with PBEsol, as listed in Alexandria via LeMat-Bulk.

Calculated values
* energy relative to the elements, uncorrected: -1928 meV/atom
* polymorph energy (0 for the lowest one): 0.000 eV/atom

Structure (POSCAR):
```
Li3FeO4
1.0
-5.057 -3.989 2.594
5.873 -3.682 -0.407
0.986 5.479 4.151
Li Fe O
12 4 16
direct
0.492 0.000 0.747 Li
0.745 0.253 0.253 Li
0.255 0.508 0.508 Li
0.492 0.747 0.000 Li
0.253 0.745 0.253 Li
0.253 0.253 0.745 Li
0.508 0.508 0.255 Li
0.000 0.492 0.747 Li
0.747 0.492 0.000 Li
0.747 0.000 0.492 Li
0.000 0.747 0.492 Li
0.508 0.255 0.508 Li
0.266 0.000 0.000 Fe
0.000 0.266 0.000 Fe
0.000 0.000 0.266 Fe
0.734 0.734 0.734 Fe
0.224 0.224 0.224 O
0.771 0.771 0.244 O
0.771 0.244 0.771 O
0.474 0.000 0.229 O
0.229 0.474 0.000 O
0.000 0.000 0.776 O
0.526 0.526 0.756 O
0.229 0.000 0.474 O
0.000 0.776 0.000 O
0.000 0.229 0.474 O
0.756 0.526 0.526 O
0.000 0.474 0.229 O
0.244 0.771 0.771 O
0.776 0.000 0.000 O
0.474 0.229 0.000 O
0.526 0.756 0.526 O
```

no.,E_tot (eV per atom),spin magnetization (μB/atom)
1,-59.573,0.000
2,-53.611,0.000
3,-40.512,0.000
4,-8.817,0.000
5,-35.825,0.030
6,-3.932,0.008
7,-32.120,0.976
8,-62.862,0.000
9,-15.859,0.000
10,-8.100,0.000
11,-30.390,0.000
12,-8.206,0.379